# CrBiTe2O8

A relaxed structure of CrBiTe2O8 (GGA+U, Alexandria). Values from VASP.

Values from the calculation:
Energy (eV/atom): -5.6785

Structure (Quantum ESPRESSO input):
```
&SYSTEM
  ibrav = 0, nat = 12, ntyp = 4
/
ATOMIC_SPECIES
Cr 52.00 Cr.upf
Bi 208.98 Bi.upf
Te 127.60 Te.upf
O 16.00 O.upf
ATOMIC_POSITIONS crystal
Cr 0.000 0.000 0.000
Bi 0.250 0.750 0.500
Te 0.750 0.250 0.500
Te 0.500 0.500 0.000
O 0.367 0.063 0.304
O 0.314 0.501 0.187
O 0.314 0.127 0.813
O 0.759 0.063 0.696
O 0.873 0.686 0.187
O 0.937 0.241 0.304
O 0.937 0.633 0.696
O 0.499 0.686 0.813
CELL_PARAMETERS angstrom
-2.362 4.367 3.732
-4.128 -2.086 -4.146
1.747 -4.797 3.537
```